Entry 1:
First-principles (meta-GGA SCAN) data for a crystal of Hf2Si2Mo relaxed with PBEsol, as listed in Alexandria via LeMat-Bulk.

Computed properties:
As for the formation energy (no corrections): -17.92 kcal/mol of atoms.

a b c (Å): 3.7225 6.6142 6.6142
angles (deg): 90.00 90.00 90.00
Closest atoms and distances in Å follow each position.
Fractional coordinates of all 10 atoms:
Si  0.0000  0.3720  0.8720  1 Si 2.39, 2 Mo 2.60, 2 Hf 2.62
Si  0.0000  0.1280  0.3720  1 Si 2.39, 2 Mo 2.60, 2 Hf 2.62
Si  0.0000  0.8720  0.6280  1 Si 2.39, 2 Mo 2.60, 2 Hf 2.62
Si  0.0000  0.6280  0.1280  1 Si 2.39, 2 Mo 2.60, 2 Hf 2.62
Hf  0.5000  0.3256  0.1744  6 Si 2.62-2.75
Hf  0.5000  0.6744  0.8256  6 Si 2.62-2.75
Hf  0.5000  0.8256  0.3256  6 Si 2.62-2.75
Hf  0.5000  0.1744  0.6744  6 Si 2.62-2.75
Mo  0.0000  0.5000  0.5000  4 Si 2.60
Mo  0.0000  0.0000  0.0000  4 Si 2.60

---

Entry 2:
First-principles (meta-GGA SCAN) data for a crystal of Ba2TaTe relaxed with PBEsol, as listed in Alexandria via LeMat-Bulk.

Computed properties:
As for the formation energy (no corrections): 6.90 kcal/mol of atoms.

a b c (Å): 4.3595 4.3595 9.7040
angles (deg): 77.02 77.02 60.00
Closest atoms and distances in Å follow each position.
Fractional coordinates of all 4 atoms:
Te  0.0000  0.0000  0.0000  6 Ba 3.35
Ta  0.5000  0.5000  0.5000  6 Ba 3.53
Ba  0.2545  0.2545  0.2366  3 Te 3.35, 3 Ta 3.53
Ba  0.7455  0.7455  0.7634  3 Te 3.35, 3 Ta 3.53

---

Entry 3:
First-principles (meta-GGA SCAN) data for a crystal of MoC3Br relaxed with PBEsol, as listed in Alexandria via LeMat-Bulk.

Computed properties:
As for the formation energy (no corrections): 82.57 kcal/mol of atoms.

a b c (Å): 3.8235 3.8235 3.8235
angles (deg): 90.00 90.00 90.00
Closest atoms and distances in Å follow each position.
Fractional coordinates of all 5 atoms:
C  0.0000  0.5000  0.0000  2 Br 1.91
C  0.0000  0.0000  0.5000  2 Br 1.91
C  0.5000  0.0000  0.0000  2 Br 1.91
Br  0.0000  0.0000  0.0000  6 C 1.91
Mo  0.5000  0.5000  0.5000  12 C 2.70

---

Entry 4:
First-principles (meta-GGA SCAN) data for a crystal of SrLiHg relaxed with PBEsol, as listed in Alexandria via LeMat-Bulk.

Computed properties:
The value obtained for the formation energy is -0.431 eV/atom.

a b c (Å): 3.8694 3.8694 5.9729
angles (deg): 108.90 108.90 90.00
Closest atoms and distances in Å follow each position.
Fractional coordinates of all 3 atoms:
Li  0.6348  0.6348  0.2695  4 Hg 2.98, 1 Sr 3.11
Sr  0.3423  0.3423  0.6847  1 Li 3.11, 5 Hg 3.34-3.39
Hg  0.0229  0.0229  0.0458  4 Li 2.98

---

Entry 5:
First-principles (meta-GGA SCAN) data for a crystal of TlMoPb2 relaxed with PBEsol, as listed in Alexandria via LeMat-Bulk.

Computed properties:
The value obtained for the formation energy is 0.432 eV/atom.

a b c (Å): 3.0494 4.8915 7.4396
angles (deg): 109.19 101.83 90.00
Closest atoms and distances in Å follow each position.
Fractional coordinates of all 4 atoms:
Mo  0.5000  0.0000  0.0000  4 Tl 2.88, 4 Pb 2.93, 2 Mo 3.05
Pb  0.8173  0.8173  0.6347  2 Mo 2.93, 2 Pb 3.05
Pb  0.1827  0.1827  0.3653  2 Mo 2.93, 2 Pb 3.05
Tl  0.0000  0.5000  0.0000  4 Mo 2.88, 2 Tl 3.05

---

Entry 6:
First-principles (meta-GGA SCAN) data for a crystal of MgTa2Be relaxed with PBEsol, as listed in Alexandria via LeMat-Bulk.

Computed properties:
The value obtained for the formation energy is 0.348 eV/atom.

a b c (Å): 3.3234 3.3234 6.1766
angles (deg): 90.00 90.00 90.00
Closest atoms and distances in Å follow each position.
Fractional coordinates of all 4 atoms:
Ta  0.0000  0.0000  0.0453  1 Be 2.57, 4 Ta 2.69
Ta  0.5000  0.5000  0.2586  4 Be 2.66, 4 Ta 2.69, 1 Mg 2.94
Mg  0.5000  0.5000  0.7348  4 Be 2.89, 6 Ta 2.94-3.24
Be  0.0000  0.0000  0.4613  5 Ta 2.57-2.66

---

Entry 7:
First-principles (meta-GGA SCAN) data for a crystal of CrAgTe2 relaxed with PBEsol, as listed in Alexandria via LeMat-Bulk.

Computed properties:
As for the formation energy (no corrections): 2.98 kcal/mol of atoms.

a b c (Å): 3.4070 3.4070 7.0799
angles (deg): 90.00 90.00 90.00
Closest atoms and distances in Å follow each position.
Fractional coordinates of all 4 atoms:
Cr  0.5000  0.5000  0.5000  8 Te 2.88
Te  0.0000  0.0000  0.7235  4 Cr 2.88, 4 Ag 3.10, 1 Te 3.16
Te  0.0000  0.0000  0.2765  4 Cr 2.88, 4 Ag 3.10, 1 Te 3.16
Ag  0.5000  0.5000  0.0000  8 Te 3.10, 4 Ag 3.41

---

Entry 8:
First-principles (meta-GGA SCAN) data for a crystal of Al2ReSb relaxed with PBEsol, as listed in Alexandria via LeMat-Bulk.

Computed properties:
As for the formation energy (no corrections): 5.44 kcal/mol of atoms.

a b c (Å): 3.2892 4.6779 4.7701
angles (deg): 100.05 110.17 90.00
Closest atoms and distances in Å follow each position.
Fractional coordinates of all 4 atoms:
Sb  0.5000  0.0000  0.0000  6 Al 2.70-3.00, 4 Re 2.86
Al  0.2659  0.2902  0.5318  2 Al 2.62, 1 Sb 2.70, 3 Re 2.70-2.74
Al  0.7341  0.7098  0.4682  2 Al 2.62, 1 Sb 2.70, 3 Re 2.70-2.74
Re  0.0000  0.5000  0.0000  6 Al 2.70-2.74, 4 Sb 2.86